A relaxed structure of BaGa2Bi2, computed with PBE.

```
data_BaGa2Bi2
_symmetry_space_group_name_H-M 'I 4/m m m'
_symmetry_Int_Tables_number 139
_symmetry_space_group_name_Hall '-I 4 2'
_cell_length_a 5.157
_cell_length_b 5.157
_cell_length_c 12.491
_cell_angle_alpha 90.00
_cell_angle_beta 90.00
_cell_angle_gamma 90.00
loop_
_atom_site_label
_atom_site_type_symbol
_atom_site_fract_x
_atom_site_fract_y
_atom_site_fract_z
Ba1 Ba 0.000 0.000 0.000
Ga1 Ga 0.000 0.500 0.250
Bi1 Bi 0.000 0.000 0.370
```

A relaxed structure of Ba3GaBi, computed with PBE.

```
data_Ba3GaBi
_symmetry_space_group_name_H-M 'P -1'
_symmetry_Int_Tables_number 2
_symmetry_space_group_name_Hall '-P 1'
_cell_length_a 4.773
_cell_length_b 9.655
_cell_length_c 9.853
_cell_angle_alpha 85.44
_cell_angle_beta 89.99
_cell_angle_gamma 75.70
loop_
_atom_site_label
_atom_site_type_symbol
_atom_site_fract_x
_atom_site_fract_y
_atom_site_fract_z
Ba1 Ba 0.048 0.403 0.172
Ba2 Ba 0.241 0.018 0.813
Ba3 Ba 0.392 0.718 0.440
Ga1 Ga 0.214 0.071 0.441
Bi1 Bi 0.393 0.713 0.077
```

A relaxed structure of BaGa4Bi, computed with PBE.

```
data_BaGa4Bi
_symmetry_space_group_name_H-M 'F -4 3 m'
_symmetry_Int_Tables_number 216
_symmetry_space_group_name_Hall 'F -4 2 3'
_cell_length_a 8.479
_cell_length_b 8.479
_cell_length_c 8.479
_cell_angle_alpha 90.00
_cell_angle_beta 90.00
_cell_angle_gamma 90.00
loop_
_atom_site_label
_atom_site_type_symbol
_atom_site_fract_x
_atom_site_fract_y
_atom_site_fract_z
Ba1 Ba 0.000 0.000 0.000
Ga1 Ga 0.124 0.124 0.376
Bi1 Bi 0.250 0.250 0.750
```

A relaxed structure of BaGaBi3, computed with PBE.

```
data_BaGaBi3
_symmetry_space_group_name_H-M 'P m -3 m'
_symmetry_Int_Tables_number 221
_symmetry_space_group_name_Hall '-P 4 2 3'
_cell_length_a 6.391
_cell_length_b 6.391
_cell_length_c 6.391
_cell_angle_alpha 90.00
_cell_angle_beta 90.00
_cell_angle_gamma 90.00
loop_
_atom_site_label
_atom_site_type_symbol
_atom_site_fract_x
_atom_site_fract_y
_atom_site_fract_z
Ba1 Ba 0.000 0.000 0.000
Ga1 Ga 0.500 0.500 0.500
Bi1 Bi 0.000 0.000 0.500
```

A relaxed structure of Ba2GaBi5, computed with PBE.

```
data_Ba2GaBi5
_symmetry_space_group_name_H-M 'I 4 m m'
_symmetry_Int_Tables_number 107
_symmetry_space_group_name_Hall 'I 4 -2'
_cell_length_a 7.257
_cell_length_b 7.257
_cell_length_c 10.604
_cell_angle_alpha 90.00
_cell_angle_beta 90.00
_cell_angle_gamma 90.00
loop_
_atom_site_label
_atom_site_type_symbol
_atom_site_fract_x
_atom_site_fract_y
_atom_site_fract_z
Ba1 Ba 0.000 0.500 0.000
Ga1 Ga 0.000 0.000 0.111
Bi1 Bi 0.000 0.000 0.461
Bi2 Bi 0.228 0.228 0.750
```

A relaxed structure of Ba2GaBi2, computed with PBE.

```
data_Ba2GaBi2
_symmetry_space_group_name_H-M 'C m c 21'
_symmetry_Int_Tables_number 36
_symmetry_space_group_name_Hall 'C 2c -2'
_cell_length_a 4.987
_cell_length_b 18.144
_cell_length_c 9.169
_cell_angle_alpha 90.00
_cell_angle_beta 90.00
_cell_angle_gamma 90.00
loop_
_atom_site_label
_atom_site_type_symbol
_atom_site_fract_x
_atom_site_fract_y
_atom_site_fract_z
Ba1 Ba 0.000 0.030 0.000
Ba2 Ba 0.000 0.208 0.342
Ga1 Ga 0.000 0.414 0.140
Bi1 Bi 0.000 0.163 0.717
Bi2 Bi 0.000 0.437 0.788
```

A relaxed structure of Ba5Ga2Bi, computed with PBE.

```
data_Ba5Ga2Bi
_symmetry_space_group_name_H-M 'I 4/m c m'
_symmetry_Int_Tables_number 140
_symmetry_space_group_name_Hall '-I 4 2c'
_cell_length_a 9.015
_cell_length_b 9.015
_cell_length_c 16.612
_cell_angle_alpha 90.00
_cell_angle_beta 90.00
_cell_angle_gamma 90.00
loop_
_atom_site_label
_atom_site_type_symbol
_atom_site_fract_x
_atom_site_fract_y
_atom_site_fract_z
Ba1 Ba 0.000 0.000 0.000
Ba2 Ba 0.176 0.324 0.142
Ga1 Ga 0.104 0.396 0.500
Bi1 Bi 0.000 0.000 0.250
```

A relaxed structure of Ba3GaBi4, computed with PBE.

```
data_Ba3GaBi4
_symmetry_space_group_name_H-M 'I m m m'
_symmetry_Int_Tables_number 71
_symmetry_space_group_name_Hall '-I 2 2'
_cell_length_a 5.352
_cell_length_b 7.039
_cell_length_c 18.182
_cell_angle_alpha 90.00
_cell_angle_beta 90.00
_cell_angle_gamma 90.00
loop_
_atom_site_label
_atom_site_type_symbol
_atom_site_fract_x
_atom_site_fract_y
_atom_site_fract_z
Ba1 Ba 0.000 0.000 0.000
Ba2 Ba 0.000 0.500 0.198
Ga1 Ga 0.000 0.000 0.500
Bi1 Bi 0.000 0.271 0.381
```

A relaxed structure of Ba3Ga2Bi4, computed with PBE.

```
data_Ba3Ga2Bi4
_symmetry_space_group_name_H-M 'C 1 2/c 1'
_symmetry_Int_Tables_number 15
_symmetry_space_group_name_Hall '-C 2yc'
_cell_length_a 14.237
_cell_length_b 11.670
_cell_length_c 8.675
_cell_angle_alpha 90.00
_cell_angle_beta 98.98
_cell_angle_gamma 90.00
loop_
_atom_site_label
_atom_site_type_symbol
_atom_site_fract_x
_atom_site_fract_y
_atom_site_fract_z
Ba1 Ba 0.000 0.093 0.250
Ba2 Ba 0.149 0.388 0.643
Ga1 Ga 0.201 0.121 0.937
Bi1 Bi 0.103 0.311 0.028
Bi2 Bi 0.169 0.083 0.601
```

A relaxed structure of BaGa2Bi2, computed with PBE.

```
data_BaGa2Bi2
_symmetry_space_group_name_H-M 'P 4/m b m'
_symmetry_Int_Tables_number 127
_symmetry_space_group_name_Hall '-P 4 2ab'
_cell_length_a 8.886
_cell_length_b 8.886
_cell_length_c 4.105
_cell_angle_alpha 90.00
_cell_angle_beta 90.00
_cell_angle_gamma 90.00
loop_
_atom_site_label
_atom_site_type_symbol
_atom_site_fract_x
_atom_site_fract_y
_atom_site_fract_z
Ba1 Ba 0.000 0.000 0.000
Ga1 Ga 0.144 0.356 0.500
Bi1 Bi 0.123 0.623 0.000
```

A relaxed structure of BaGa2Bi2, computed with PBE.

```
data_BaGa2Bi2
_symmetry_space_group_name_H-M 'P -1'
_symmetry_Int_Tables_number 2
_symmetry_space_group_name_Hall '-P 1'
_cell_length_a 6.518
_cell_length_b 6.540
_cell_length_c 8.814
_cell_angle_alpha 79.46
_cell_angle_beta 77.38
_cell_angle_gamma 70.56
loop_
_atom_site_label
_atom_site_type_symbol
_atom_site_fract_x
_atom_site_fract_y
_atom_site_fract_z
Ba1 Ba 0.188 0.201 0.231
Ga1 Ga 0.204 0.082 0.807
Ga2 Ga 0.433 0.355 0.739
Bi1 Bi 0.248 0.719 0.058
Bi2 Bi 0.375 0.780 0.578
```

A relaxed structure of Ba4GaBi, computed with PBE.

```
data_Ba4GaBi
_symmetry_space_group_name_H-M 'C 1 2/c 1'
_symmetry_Int_Tables_number 15
_symmetry_space_group_name_Hall '-C 2yc'
_cell_length_a 10.892
_cell_length_b 15.641
_cell_length_c 7.780
_cell_angle_alpha 90.00
_cell_angle_beta 121.32
_cell_angle_gamma 90.00
loop_
_atom_site_label
_atom_site_type_symbol
_atom_site_fract_x
_atom_site_fract_y
_atom_site_fract_z
Ba1 Ba 0.117 0.174 0.083
Ba2 Ba 0.205 0.440 0.286
Ga1 Ga 0.000 0.002 0.750
Bi1 Bi 0.000 0.365 0.750
```

Number 1: energy relative to the elements -0.320 eV per atom. Number 2: energy relative to the elements -0.563 eV per atom. Number 3: energy relative to the elements -0.159 eV per atom. Number 4: energy relative to the elements 0.799 eV per atom. Number 5: energy relative to the elements -0.436 eV per atom. Number 6: energy relative to the elements -0.672 eV per atom. Number 7: energy relative to the elements -0.493 eV per atom. Number 8: energy relative to the elements -0.564 eV per atom. Number 9: energy relative to the elements -0.574 eV per atom. Number 10: energy relative to the elements -0.176 eV per atom. Number 11: energy relative to the elements -0.321 eV per atom. Number 12: energy relative to the elements -0.489 eV per atom.